# YZnCr2, optimized geometry, DFT PBE-GGA
# Crystal system: orthorhombic
# Calculated total energy in eV/atom: -6.031
# Formation energy from the elements in eV per formula unit: 2.86
data_YZnCr2
_chemical_formula_sum 'Y1 Zn1 Cr2'
_space_group_name_H-M_alt 'P 1'
_space_group_IT_number 1
_cell_length_a 2.7293
_cell_length_b 2.7293
_cell_length_c 8.5750
_cell_angle_alpha 90.00
_cell_angle_beta 90.00
_cell_angle_gamma 89.86
loop_
_space_group_symop_operation_xyz
'x,y,z'
loop_
_atom_site_label
_atom_site_type_symbol
_atom_site_fract_x
_atom_site_fract_y
_atom_site_fract_z
Cr1 Cr 0.0000 0.0000 0.5344
Cr2 Cr 0.0000 0.0000 0.9656
Y1 Y 0.5000 0.5000 0.2500
Zn1 Zn 0.5000 0.5000 0.7500

***

# CaCePu, optimized geometry, DFT PBE-GGA
# Crystal system: tetragonal
# Calculated total energy in eV/atom: -7.199
# Formation energy from the elements in eV per formula unit: 0.67
data_CaCePu
_chemical_formula_sum 'Ca1 Ce1 Pu1'
_space_group_name_H-M_alt 'P 1'
_space_group_IT_number 1
_cell_length_a 3.6836
_cell_length_b 3.6836
_cell_length_c 7.3624
_cell_angle_alpha 104.49
_cell_angle_beta 104.49
_cell_angle_gamma 90.00
loop_
_space_group_symop_operation_xyz
'x,y,z'
loop_
_atom_site_label
_atom_site_type_symbol
_atom_site_fract_x
_atom_site_fract_y
_atom_site_fract_z
Ce1 Ce 0.6982 0.6982 0.3965
Ca1 Ca 0.9947 0.9947 0.9895
Pu1 Pu 0.3070 0.3070 0.6141

***

# Cs5AgCl6, optimized geometry, DFT PBE-GGA
# Crystal system: monoclinic
# ΔE_f (raw) in eV per atom: -1.679
# Calculated total energy in eV/atom: -3.196
data_Cs5AgCl6
_chemical_formula_sum 'Cs5 Ag1 Cl6'
_space_group_name_H-M_alt 'P 1'
_space_group_IT_number 1
_cell_length_a 8.4439
_cell_length_b 8.4519
_cell_length_c 8.5627
_cell_angle_alpha 60.43
_cell_angle_beta 81.49
_cell_angle_gamma 72.55
loop_
_space_group_symop_operation_xyz
'x,y,z'
loop_
_atom_site_label
_atom_site_type_symbol
_atom_site_fract_x
_atom_site_fract_y
_atom_site_fract_z
Cl1 Cl 0.2677 0.9018 0.6610
Cs1 Cs 0.5000 0.1606 0.6787
Cs2 Cs 0.0000 0.6771 0.6458
Cl2 Cl 0.8262 0.8132 0.0000
Cl3 Cl 0.1738 0.1868 0.0000
Cs3 Cs 0.5000 0.8394 0.3213
Cs4 Cs 0.5000 0.5000 0.0000
Cs5 Cs 0.0000 0.3229 0.3542
Cl4 Cl 0.2677 0.5628 0.3390
Cl5 Cl 0.7323 0.0982 0.3390
Cl6 Cl 0.7323 0.4372 0.6610
Ag1 Ag 0.0000 0.0000 0.0000

***

# ZrIn2Pt, optimized geometry, DFT PBE-GGA
# Crystal system: monoclinic
# Calculated total energy in eV/atom: -5.349
# Formation energy from the elements in eV per formula unit: -1.33
data_ZrIn2Pt
_chemical_formula_sum 'Zr1 In2 Pt1'
_space_group_name_H-M_alt 'P 1'
_space_group_IT_number 1
_cell_length_a 4.6354
_cell_length_b 3.1676
_cell_length_c 5.7104
_cell_angle_alpha 83.48
_cell_angle_beta 90.00
_cell_angle_gamma 90.00
loop_
_space_group_symop_operation_xyz
'x,y,z'
loop_
_atom_site_label
_atom_site_type_symbol
_atom_site_fract_x
_atom_site_fract_y
_atom_site_fract_z
In1 In 0.0000 0.3588 0.4953
Pt1 Pt 0.5000 0.2500 0.2500
In2 In 0.0000 0.1412 0.0047
Zr1 Zr 0.5000 0.7500 0.7500

***

# ZrScPb2, optimized geometry, DFT PBE-GGA
# Crystal system: trigonal
# Calculated total energy in eV/atom: -5.704
# Excess energy over the best structure of this formula in the dataset in eV/f.u.: 0.54
# Formation energy from the elements in eV per formula unit: -0.52
data_ZrScPb2
_chemical_formula_sum 'Zr1 Sc1 Pb2'
_space_group_name_H-M_alt 'P 1'
_space_group_IT_number 1
_cell_length_a 9.9891
_cell_length_b 9.9891
_cell_length_c 9.9891
_cell_angle_alpha 19.77
_cell_angle_beta 19.77
_cell_angle_gamma 19.77
loop_
_space_group_symop_operation_xyz
'x,y,z'
loop_
_atom_site_label
_atom_site_type_symbol
_atom_site_fract_x
_atom_site_fract_y
_atom_site_fract_z
Pb1 Pb 0.5000 0.5000 0.5000
Zr1 Zr 0.7500 0.7500 0.7500
Sc1 Sc 0.2500 0.2500 0.2500
Pb2 Pb 0.0000 0.0000 0.0000

***

# Sc2Cu2Pb, optimized geometry, DFT PBE-GGA
# Crystal system: tetragonal
# Calculated total energy in eV/atom: -4.955
# Formation energy from the elements in eV per formula unit: -0.21
data_Sc2Cu2Pb
_chemical_formula_sum 'Sc2 Cu2 Pb1'
_space_group_name_H-M_alt 'P 1'
_space_group_IT_number 1
_cell_length_a 4.4549
_cell_length_b 4.4549
_cell_length_c 6.1181
_cell_angle_alpha 68.65
_cell_angle_beta 68.65
_cell_angle_gamma 90.00
loop_
_space_group_symop_operation_xyz
'x,y,z'
loop_
_atom_site_label
_atom_site_type_symbol
_atom_site_fract_x
_atom_site_fract_y
_atom_site_fract_z
Pb1 Pb 0.0000 0.0000 0.0000
Cu1 Cu 0.6100 0.6100 0.7800
Sc1 Sc 0.2500 0.7500 0.5000
Sc2 Sc 0.7500 0.2500 0.5000
Cu2 Cu 0.3900 0.3900 0.2200